1.
# PBE As2PbAuI, optimized geometry
# Space-group type: No. 123
data_As2PbAuI
_chemical_formula_sum 'As2 Pb1 Au1 I1'
_cell_length_a 5.549
_cell_length_b 6.108
_cell_length_c 5.549
_cell_angle_alpha 90.00
_cell_angle_beta 90.00
_cell_angle_gamma 90.00
_symmetry_space_group_name_H-M 'P 1'
_symmetry_Int_Tables_number 1
loop_
_symmetry_equiv_pos_as_xyz
'x,y,z'
loop_
_atom_site_label
_atom_site_fract_x
_atom_site_fract_y
_atom_site_fract_z
As1 0.000 0.000 0.500
Au1 0.500 0.500 0.500
Pb1 0.000 0.000 0.000
I1 0.000 0.500 0.000
As2 0.500 0.000 0.000

2.
# PBE SrCuHg2Pb, optimized geometry
# Energy of formation, eV/atom: -0.13
# Space-group type: No. 123
data_SrCuHg2Pb
_chemical_formula_sum 'Sr1 Cu1 Hg2 Pb1'
_cell_length_a 5.143
_cell_length_b 5.143
_cell_length_c 5.322
_cell_angle_alpha 90.00
_cell_angle_beta 90.00
_cell_angle_gamma 90.00
_symmetry_space_group_name_H-M 'P 1'
_symmetry_Int_Tables_number 1
loop_
_symmetry_equiv_pos_as_xyz
'x,y,z'
loop_
_atom_site_label
_atom_site_fract_x
_atom_site_fract_y
_atom_site_fract_z
Hg1 0.500 0.000 0.000
Pb1 0.000 0.000 0.500
Hg2 0.000 0.500 0.000
Sr1 0.500 0.500 0.500
Cu1 0.000 0.000 0.000

3.
# PBE PmSm3Tl, optimized geometry
# Energy of formation, eV/atom: 0.00
# Space-group type: No. 12
# ΔE to the lowest computed polymorph, meV per atom: 132.6
data_PmSm3Tl
_chemical_formula_sum 'Pm2 Sm6 Tl2'
_cell_length_a 5.494
_cell_length_b 6.781
_cell_length_c 9.825
_cell_angle_alpha 90.14
_cell_angle_beta 90.00
_cell_angle_gamma 113.90
_symmetry_space_group_name_H-M 'P 1'
_symmetry_Int_Tables_number 1
loop_
_symmetry_equiv_pos_as_xyz
'x,y,z'
loop_
_atom_site_label
_atom_site_fract_x
_atom_site_fract_y
_atom_site_fract_z
Sm1 0.902 0.805 0.848
Sm2 0.110 0.219 0.606
Sm3 0.403 0.807 0.152
Pm1 0.612 0.223 0.396
Sm4 0.890 0.781 0.394
Tl1 0.250 0.500 0.881
Tl2 0.750 0.500 0.119
Sm5 0.098 0.195 0.152
Pm2 0.388 0.777 0.604
Sm6 0.597 0.193 0.848

4.
# PBE ZnCd2Ga2Pd5, optimized geometry
# Energy of formation, eV/atom: -0.43
# Space-group type: No. 127
data_ZnCd2Ga2Pd5
_chemical_formula_sum 'Zn2 Cd4 Ga4 Pd10'
_cell_length_a 3.615
_cell_length_b 9.595
_cell_length_c 9.595
_cell_angle_alpha 90.00
_cell_angle_beta 90.00
_cell_angle_gamma 90.00
_symmetry_space_group_name_H-M 'P 1'
_symmetry_Int_Tables_number 1
loop_
_symmetry_equiv_pos_as_xyz
'x,y,z'
loop_
_atom_site_label
_atom_site_fract_x
_atom_site_fract_y
_atom_site_fract_z
Ga1 0.000 0.870 0.370
Ga2 0.000 0.630 0.870
Pd1 0.500 0.000 0.500
Pd2 0.500 0.424 0.305
Pd3 0.500 0.076 0.805
Cd1 0.000 0.829 0.671
Zn1 0.000 0.500 0.500
Zn2 0.000 0.000 0.000
Pd4 0.500 0.924 0.195
Pd5 0.500 0.695 0.424
Ga3 0.000 0.130 0.630
Cd2 0.000 0.171 0.329
Pd6 0.500 0.576 0.695
Pd7 0.500 0.305 0.576
Pd8 0.500 0.195 0.076
Pd9 0.500 0.500 0.000
Ga4 0.000 0.370 0.130
Pd10 0.500 0.805 0.924
Cd3 0.000 0.671 0.171
Cd4 0.000 0.329 0.829

5.
# PBE NdTm4Cu5, optimized geometry
# Energy of formation, eV/atom: -0.26
# Space-group type: No. 123
data_NdTm4Cu5
_chemical_formula_sum 'Nd1 Tm4 Cu5'
_cell_length_a 3.425
_cell_length_b 3.425
_cell_length_c 17.501
_cell_angle_alpha 90.00
_cell_angle_beta 90.00
_cell_angle_gamma 90.00
_symmetry_space_group_name_H-M 'P 1'
_symmetry_Int_Tables_number 1
loop_
_symmetry_equiv_pos_as_xyz
'x,y,z'
loop_
_atom_site_label
_atom_site_fract_x
_atom_site_fract_y
_atom_site_fract_z
Tm1 0.000 0.000 0.794
Nd1 0.000 0.000 0.000
Cu1 0.500 0.500 0.303
Cu2 0.500 0.500 0.697
Tm2 0.000 0.000 0.402
Tm3 0.000 0.000 0.598
Tm4 0.000 0.000 0.206
Cu3 0.500 0.500 0.113
Cu4 0.500 0.500 0.887
Cu5 0.500 0.500 0.500

6.
# PBE Be3NiTe, optimized geometry
# Space-group type: No. 221
# ΔE to the lowest computed polymorph, meV per atom: 1152.3
data_Be3NiTe
_chemical_formula_sum 'Be3 Ni1 Te1'
_cell_length_a 4.582
_cell_length_b 4.582
_cell_length_c 4.582
_cell_angle_alpha 90.00
_cell_angle_beta 90.00
_cell_angle_gamma 90.00
_symmetry_space_group_name_H-M 'P 1'
_symmetry_Int_Tables_number 1
loop_
_symmetry_equiv_pos_as_xyz
'x,y,z'
loop_
_atom_site_label
_atom_site_fract_x
_atom_site_fract_y
_atom_site_fract_z
Be1 0.000 0.000 0.500
Te1 0.000 0.000 0.000
Be2 0.500 0.000 0.000
Be3 0.000 0.500 0.000
Ni1 0.500 0.500 0.500

DFT total energy, record by record: -2.489; -2.144; -4.252; -3.940; -4.577; -2.367 eV/atom